Entry 1:
Computed, not measured: an optimized crystal structure of CaNd2HfO6 at the PBE level of DFT.

## Properties
**Size of the total moment**: 0.00 μB per cell
**Raw formation energy**: -3350 meV per atom

CIF file:
```
data_CaNd2HfO6
_chemical_formula_sum 'Ca3 Nd6 Hf3 O18'
_cell_length_a 5.8708
_cell_length_b 5.8708
_cell_length_c 15.0082
_cell_angle_alpha 90.00
_cell_angle_beta 90.00
_cell_angle_gamma 120.00
_space_group_name_H-M_alt 'R 3'
_space_group_IT_number 146
_space_group_name_Hall 'R 3'
loop_
_atom_site_label
_atom_site_type_symbol
_atom_site_fract_x
_atom_site_fract_y
_atom_site_fract_z
Ca1 Ca 0.0000 0.0000 0.0000
Nd1 Nd 0.0000 0.0000 0.2748
Nd2 Nd 0.0000 0.0000 0.7759
Hf1 Hf 0.0000 0.0000 0.4939
O1 O 0.0526 0.3347 0.5590
O2 O 0.0685 0.6856 0.0661
```

=====

Entry 2:
Computed, not measured: an optimized crystal structure of Tm4CdRu2Rh at the PBE level of DFT.

## Properties
**Energy of formation from the pure elements**: -0.547 eV/atom
**Size of the total moment**: 0.00 μB per cell

CIF file:
```
data_Tm4CdRu2Rh
_chemical_formula_sum 'Tm12 Cd3 Ru6 Rh3'
_cell_length_a 4.8506
_cell_length_b 4.8506
_cell_length_c 23.8669
_cell_angle_alpha 90.00
_cell_angle_beta 90.00
_cell_angle_gamma 120.00
_space_group_name_H-M_alt 'R -3 m'
_space_group_IT_number 166
_space_group_name_Hall '-R 3 2"'
loop_
_atom_site_label
_atom_site_type_symbol
_atom_site_fract_x
_atom_site_fract_y
_atom_site_fract_z
Tm1 Tm 0.0000 0.0000 0.1193
Tm2 Tm 0.0000 0.0000 0.3711
Cd1 Cd 0.0000 0.0000 0.5000
Ru1 Ru 0.0000 0.0000 0.2489
Rh1 Rh 0.0000 0.0000 0.0000
```

=====

Entry 3:
Computed, not measured: an optimized crystal structure of LiSbI2 at the PBE level of DFT.

## Properties
**Size of the total moment**: 0.00 μB per cell
**Raw formation energy**: -66 meV per atom

CIF file:
```
data_LiSbI2
_chemical_formula_sum 'Li4 Sb4 I8'
_cell_length_a 7.893
_cell_length_b 7.893
_cell_length_c 7.893
_cell_angle_alpha 90.00
_cell_angle_beta 90.00
_cell_angle_gamma 90.00
_space_group_name_H-M_alt 'F m -3 m'
_space_group_IT_number 225
_space_group_name_Hall '-F 4 2 3'
loop_
_atom_site_label
_atom_site_type_symbol
_atom_site_fract_x
_atom_site_fract_y
_atom_site_fract_z
Li1 Li 0.000 0.000 0.000
Sb1 Sb 0.000 0.000 0.500
I1 I 0.250 0.250 0.250
```

=====

Entry 4:
Computed, not measured: an optimized crystal structure of Ti3BeMo at the PBE level of DFT.

## Properties
**Energy of formation from the pure elements**: 0.589 eV/atom
**Size of the total moment**: 0.00 μB per cell

CIF file:
```
data_Ti3BeMo
_chemical_formula_sum 'Ti3 Be1 Mo1'
_cell_length_a 4.325
_cell_length_b 4.325
_cell_length_c 4.325
_cell_angle_alpha 90.00
_cell_angle_beta 90.00
_cell_angle_gamma 90.00
_space_group_name_H-M_alt 'P m -3 m'
_space_group_IT_number 221
_space_group_name_Hall '-P 4 2 3'
loop_
_atom_site_label
_atom_site_type_symbol
_atom_site_fract_x
_atom_site_fract_y
_atom_site_fract_z
Ti1 Ti 0.000 0.000 0.500
Be1 Be 0.000 0.000 0.000
Mo1 Mo 0.500 0.500 0.500
```